Ca2YRh: relaxed, PBE.

Cell lengths 9.6658, 9.6658, 7.3741 Å; angles 49.05, 49.05, 90.00 degrees
Last column: nearest neighbours and their distance in Å.
Sites, in units of the cell vectors:
Y 0.5000 0.5000 0.0000  2 Rh 2.77
Y 0.2500 0.7500 0.5000  2 Rh 2.77
Ca 0.7385 0.1250 0.2500  2 Rh 2.84
Ca 0.0115 0.6250 0.2500  2 Rh 2.84
Ca 0.3750 0.2615 0.7500  2 Rh 2.84
Ca 0.8750 0.9885 0.7500  2 Rh 2.84
Rh 0.0000 0.0000 0.0000  2 Y 2.77, 4 Ca 2.84
Rh 0.7500 0.2500 0.5000  2 Y 2.77, 4 Ca 2.84

Summary:
* ΔH_f (0 K): -0.06 eV/atom
* relative energy among the computed polymorphs: 0.282 eV/atom
* space group: I-42d (122)
* crystal system: tetragonal
* theoretical density: 3492 kg/m³


CuSb: relaxed, PBE.

Cell lengths 6.9893, 6.9893, 6.9893 Å; angles 146.47, 153.19, 43.44 degrees
Last column: nearest neighbours and their distance in Å.
Sites, in units of the cell vectors:
Cu 0.4417 0.6917 0.2500  2 Cu 2.52, 4 Sb 2.77
Cu 0.5583 0.3083 0.7500  2 Cu 2.52, 4 Sb 2.77
Sb 0.8662 0.1162 0.2500  6 Cu 2.77-2.97
Sb 0.1338 0.8838 0.7500  6 Cu 2.77-2.97

Summary:
* formation energy without anion corrections: 17.44 kJ/mol of atoms
* space group: Imma (74)
* crystal system: orthorhombic
* theoretical density: 7253 kg/m³


| no. | final energy (eV/cell) | size of the total moment (μB/f.u.) | DOS at the Fermi energy (states/eV/atom) |
| --- | --- | --- | --- |
| 1 | -36.1 | 0.00 | 0.44 |
| 2 | -15.7 | 0.00 | 0.52 |